No. 1
# KBe2NiPt GGA-PBE relaxed
# - V (A^3/atom) = 20.85
# - density of states at the Fermi level (states/eV/f.u.) = 6.38
# - formation enthalpy at 0 K (eV per atom) = 2.5228
# - spin magnetization (Bohr magnetons per cell) = 0.6
# - calculated total energy (eV per atom) = -1.55
data_KBe2NiPt
_chemical_formula_sum 'K1 Be2 Ni1 Pt1'
_cell_length_a 4.574
_cell_length_b 4.574
_cell_length_c 4.983
_cell_angle_alpha 90.00
_cell_angle_beta 90.00
_cell_angle_gamma 90.00
_space_group_name_H-M_alt 'P 4/m m m'
_space_group_IT_number 123
_space_group_name_Hall '-P 4 2'
loop_
_atom_site_label
_atom_site_fract_x
_atom_site_fract_y
_atom_site_fract_z
K1 0.000 0.000 0.000
Be1 0.000 0.500 0.000
Ni1 0.500 0.500 0.500
Pt1 0.000 0.000 0.500

=====

No. 2
# KBe2NiRh GGA-PBE relaxed
# - V (A^3/atom) = 18.89
# - density of states at the Fermi level (states/eV/f.u.) = 4.46
# - formation enthalpy at 0 K (eV per atom) = 2.5194
# - spin magnetization (Bohr magnetons per cell) = 0.4
# - calculated total energy (eV per atom) = -1.82
data_KBe2NiRh
_chemical_formula_sum 'K1 Be2 Ni1 Rh1'
_cell_length_a 4.579
_cell_length_b 4.579
_cell_length_c 4.506
_cell_angle_alpha 90.00
_cell_angle_beta 90.00
_cell_angle_gamma 90.00
_space_group_name_H-M_alt 'P 4/m m m'
_space_group_IT_number 123
_space_group_name_Hall '-P 4 2'
loop_
_atom_site_label
_atom_site_fract_x
_atom_site_fract_y
_atom_site_fract_z
K1 0.000 0.000 0.000
Be1 0.000 0.500 0.000
Ni1 0.500 0.500 0.500
Rh1 0.000 0.000 0.500

=====

No. 3
# K2ScBeNi GGA-PBE relaxed
# - V (A^3/atom) = 33.11
# - density of states at the Fermi level (states/eV/f.u.) = 7.98
# - formation enthalpy at 0 K (eV per atom) = 1.2278
# - spin magnetization (Bohr magnetons per cell) = 0.0
# - calculated total energy (eV per atom) = -2.38
data_K2ScBeNi
_chemical_formula_sum 'K2 Sc1 Be1 Ni1'
_cell_length_a 5.647
_cell_length_b 5.647
_cell_length_c 5.192
_cell_angle_alpha 90.00
_cell_angle_beta 90.00
_cell_angle_gamma 90.00
_space_group_name_H-M_alt 'P 4/m m m'
_space_group_IT_number 123
_space_group_name_Hall '-P 4 2'
loop_
_atom_site_label
_atom_site_fract_x
_atom_site_fract_y
_atom_site_fract_z
K1 0.000 0.500 0.000
Sc1 0.000 0.000 0.500
Be1 0.000 0.000 0.000
Ni1 0.500 0.500 0.500

=====

No. 4
# K2ZrBeNi GGA-PBE relaxed
# - V (A^3/atom) = 42.83
# - density of states at the Fermi level (states/eV/f.u.) = 5.95
# - formation enthalpy at 0 K (eV per atom) = 1.4978
# - spin magnetization (Bohr magnetons per cell) = 0.0
# - calculated total energy (eV per atom) = -2.55
data_K2ZrBeNi
_chemical_formula_sum 'K2 Zr1 Be1 Ni1'
_cell_length_a 6.908
_cell_length_b 6.908
_cell_length_c 4.487
_cell_angle_alpha 90.00
_cell_angle_beta 90.00
_cell_angle_gamma 90.00
_space_group_name_H-M_alt 'P 4/m m m'
_space_group_IT_number 123
_space_group_name_Hall '-P 4 2'
loop_
_atom_site_label
_atom_site_fract_x
_atom_site_fract_y
_atom_site_fract_z
K1 0.000 0.500 0.000
Zr1 0.000 0.000 0.000
Be1 0.500 0.500 0.500
Ni1 0.000 0.000 0.500

=====

No. 5
# KZrBeNi2 GGA-PBE relaxed
# - V (A^3/atom) = 18.39
# - density of states at the Fermi level (states/eV/f.u.) = 7.24
# - formation enthalpy at 0 K (eV per atom) = 1.7950
# - spin magnetization (Bohr magnetons per cell) = 0.0
# - calculated total energy (eV per atom) = -3.19
data_KZrBeNi2
_chemical_formula_sum 'K1 Zr1 Be1 Ni2'
_cell_length_a 4.479
_cell_length_b 4.479
_cell_length_c 4.582
_cell_angle_alpha 90.00
_cell_angle_beta 90.00
_cell_angle_gamma 90.00
_space_group_name_H-M_alt 'P 4/m m m'
_space_group_IT_number 123
_space_group_name_Hall '-P 4 2'
loop_
_atom_site_label
_atom_site_fract_x
_atom_site_fract_y
_atom_site_fract_z
K1 0.000 0.000 0.000
Zr1 0.500 0.500 0.500
Be1 0.000 0.000 0.500
Ni1 0.000 0.500 0.000

=====

No. 6
# KNpBeO5 GGA-PBE relaxed
# - V (A^3/atom) = 14.35
# - energy relative to the elements, uncorrected (kJ per mole of atoms) = -229.8
# - spin magnetization (Bohr magnetons per cell) = 0.0
# - calculated total energy (eV per atom) = -7.70
data_KNpBeO5
_chemical_formula_sum 'K4 Np4 Be4 O20'
_cell_length_a 7.116
_cell_length_b 9.120
_cell_length_c 7.878
_cell_angle_alpha 90.00
_cell_angle_beta 116.08
_cell_angle_gamma 90.00
_space_group_name_H-M_alt 'C 1 2/c 1'
_space_group_IT_number 15
_space_group_name_Hall '-C 2yc'
loop_
_atom_site_label
_atom_site_fract_x
_atom_site_fract_y
_atom_site_fract_z
K1 0.000 0.089 0.250
Np1 0.250 0.250 0.000
Be1 0.000 0.443 0.250
O1 0.000 0.183 0.750
O2 0.071 0.329 0.117
O3 0.208 0.449 0.881